The following is a DFT calculation (PBE-GGA) of crystalline CrCu2Te4 at its relaxed geometry.

The value obtained for the total energy is -4.420 eV/atom. As for the uncorrected formation energy: -0.08 eV per atom. The value obtained for the density of states at the Fermi level is 10.600 states/eV/cell. Its symmetry is Imma, No. 74.

Cell lengths 7.8824, 7.8824, 7.8824 Å; angles 120.25, 119.33, 90.37 degrees
Positions (direct):
Cr1 0.5000 0.0000 0.0000
Cr2 0.5000 0.5000 0.5000
Cu1 0.0000 0.0000 0.0000
Cu2 0.1257 0.3757 0.7500
Cu3 0.5000 0.0000 0.5000
Cu4 0.8743 0.6243 0.2500
Te1 0.2589 0.2424 0.4835
Te2 0.2589 0.7754 0.0165
Te3 0.2647 0.2467 0.0180
Te4 0.2713 0.7533 0.5180
Te5 0.7287 0.2467 0.4820
Te6 0.7353 0.7533 0.9820
Te7 0.7411 0.2246 0.9835
Te8 0.7411 0.7576 0.5165

***

The following is a DFT calculation (PBE-GGA) of crystalline Nd2TiGe2 at its relaxed geometry.

The value obtained for the total energy is -4.774 eV/atom. The value obtained for the density of states at the Fermi level is 5.935 states/eV/cell. Its symmetry is P4/mmm, No. 123. The calculation puts the formation energy at 0.56 eV/atom.

Cell lengths 3.0282, 3.0282, 14.4900 Å; angles 90.00, 90.00, 90.00 degrees
Positions (direct):
Nd1 0.0000 0.0000 0.1189
Nd2 0.0000 0.0000 0.8811
Ti1 0.0000 0.0000 0.5000
Ge1 0.0000 0.0000 0.3228
Ge2 0.0000 0.0000 0.6772

***

The following is a DFT calculation (PBE-GGA) of crystalline Ba6TlAg5 at its relaxed geometry.

The value obtained for the total energy is -2.604 eV/atom. The value obtained for the density of states at the Fermi level is 10.667 states/eV/cell. Its symmetry is Immm, No. 71. The calculation puts the formation energy at -0.26 eV/atom.

Cell lengths 10.1868, 10.1868, 10.1868 Å; angles 146.47, 131.77, 60.02 degrees
Positions (direct):
Ba1 0.0813 0.3324 0.7489
Ba2 0.2452 0.0000 0.2452
Ba3 0.4164 0.6676 0.7489
Ba4 0.5836 0.3324 0.2511
Ba5 0.7548 0.0000 0.7548
Ba6 0.9187 0.6676 0.2511
Tl1 0.5000 0.5000 0.0000
Ag1 0.0000 0.5000 0.5000
Ag2 0.1682 0.1682 0.0000
Ag3 0.3374 0.8374 0.5000
Ag4 0.6626 0.1626 0.5000
Ag5 0.8318 0.8318 0.0000

***

The following is a DFT calculation (PBE-GGA) of crystalline Pm8ZnSi3Br4 at its relaxed geometry.

The value obtained for the total energy is -4.858 eV/atom. As for the uncorrected formation energy: -0.97 eV per atom. The value obtained for the density of states at the Fermi level is 7.816 states/eV/cell. Its symmetry is R-3m, No. 166.

Cell lengths 8.7169, 8.7169, 8.7169 Å; angles 58.20, 58.20, 58.20 degrees
Positions (direct):
Pm1 0.2354 0.7412 0.7412
Pm2 0.2375 0.2375 0.2375
Pm3 0.2588 0.2588 0.7646
Pm4 0.2588 0.7646 0.2588
Pm5 0.7412 0.2354 0.7412
Pm6 0.7412 0.7412 0.2354
Pm7 0.7625 0.7625 0.7625
Pm8 0.7646 0.2588 0.2588
Zn1 0.5000 0.5000 0.5000
Si1 0.0000 0.0000 0.5000
Si2 0.0000 0.5000 0.0000
Si3 0.5000 0.0000 0.0000
Br1 0.0000 0.0000 0.0000
Br2 0.0000 0.5000 0.5000
Br3 0.5000 0.0000 0.5000
Br4 0.5000 0.5000 0.0000

***

The following is a DFT calculation (PBE-GGA) of crystalline TaVH3 at its relaxed geometry.

Its excess energy over the best structure of this formula in the dataset is 1.20 eV/f.u. The value obtained for the total energy is -6.110 eV/atom. The value obtained for the density of states at the Fermi level is 2.244 states/eV/cell. Its symmetry is Pm-3m, No. 221.

Cell lengths 3.3723, 3.3723, 3.3723 Å; angles 90.00, 90.00, 90.00 degrees
Positions (direct):
Ta1 0.0000 0.0000 0.0000
V1 0.5000 0.5000 0.5000
H1 0.0000 0.5000 0.5000
H2 0.5000 0.0000 0.5000
H3 0.5000 0.5000 0.0000

***

The following is a DFT calculation (PBE-GGA) of crystalline BWBr2 at its relaxed geometry.

Its excess energy over the best structure of this formula in the dataset is 2.63 eV/f.u. The value obtained for the total energy is -4.265 eV/atom. As for the uncorrected formation energy: 1.48 eV per atom. The value obtained for the density of states at the Fermi level is 5.810 states/eV/cell. Its symmetry is R-3m, No. 166.

Cell lengths 3.2025, 3.2025, 24.8759 Å; angles 90.00, 90.00, 120.00 degrees
Positions (direct):
B1 0.0000 0.0000 0.0000
B2 0.3333 0.6667 0.6667
B3 0.6667 0.3333 0.3333
W1 0.0000 0.0000 0.5000
W2 0.3333 0.6667 0.1667
W3 0.6667 0.3333 0.8333
Br1 0.0000 0.0000 0.4006
Br2 0.0000 0.0000 0.5994
Br3 0.3333 0.6667 0.0673
Br4 0.3333 0.6667 0.2661
Br5 0.6667 0.3333 0.7339
Br6 0.6667 0.3333 0.9327

***

The following is a DFT calculation (PBE-GGA) of crystalline Tm2GaAu at its relaxed geometry.

The value obtained for the total energy is -4.347 eV/atom. The value obtained for the density of states at the Fermi level is 11.821 states/eV/cell. Its symmetry is R-3m, No. 166. The calculation puts the formation energy at -0.54 eV/atom.

Cell lengths 3.7098, 3.7098, 24.7479 Å; angles 90.00, 90.00, 120.00 degrees
Positions (direct):
Tm1 0.0000 0.0000 0.2481
Tm2 0.0000 0.0000 0.7519
Tm3 0.3333 0.6667 0.4186
Tm4 0.3333 0.6667 0.9147
Tm5 0.6667 0.3333 0.0853
Tm6 0.6667 0.3333 0.5814
Ga1 0.0000 0.0000 0.0000
Ga2 0.3333 0.6667 0.6667
Ga3 0.6667 0.3333 0.3333
Au1 0.0000 0.0000 0.5000
Au2 0.3333 0.6667 0.1667
Au3 0.6667 0.3333 0.8333

***

The following is a DFT calculation (PBE-GGA) of crystalline Be3PCl at its relaxed geometry.

Its excess energy over the best structure of this formula in the dataset is 0.00 eV/f.u. The value obtained for the total energy is -3.128 eV/atom. As for the uncorrected formation energy: 0.56 eV per atom. The value obtained for the density of states at the Fermi level is 3.144 states/eV/cell. Its symmetry is Pm-3m, No. 221.

Cell lengths 4.2420, 4.2420, 4.2420 Å; angles 90.00, 90.00, 90.00 degrees
Positions (direct):
Be1 0.0000 0.0000 0.5000
Be2 0.0000 0.5000 0.0000
Be3 0.5000 0.0000 0.0000
P1 0.0000 0.0000 0.0000
Cl1 0.5000 0.5000 0.5000

***

The following is a DFT calculation (PBE-GGA) of crystalline La2CuP3Pt4 at its relaxed geometry.

The value obtained for the total energy is -6.392 eV/atom. The value obtained for the density of states at the Fermi level is 5.732 states/eV/cell. Its symmetry is P-4m2, No. 115. The calculation puts the formation energy at -0.96 eV/atom.

Cell lengths 4.3244, 4.3244, 9.7168 Å; angles 90.00, 90.00, 90.00 degrees
Positions (direct):
La1 0.0000 0.5000 0.2483
La2 0.5000 0.0000 0.7517
Cu1 0.5000 0.5000 0.0000
P1 0.0000 0.0000 0.0000
P2 0.0000 0.5000 0.6319
P3 0.5000 0.0000 0.3681
Pt1 0.0000 0.0000 0.5000
Pt2 0.0000 0.5000 0.8763
Pt3 0.5000 0.0000 0.1237
Pt4 0.5000 0.5000 0.5000

***

The following is a DFT calculation (PBE-GGA) of crystalline BaSrMg2In2 at its relaxed geometry.

The value obtained for the total energy is -2.348 eV/atom. The value obtained for the density of states at the Fermi level is 4.526 states/eV/cell. Its symmetry is P-3m1, No. 164. The calculation puts the formation energy at -0.30 eV/atom.

Cell lengths 5.2296, 5.2296, 8.3970 Å; angles 90.00, 90.00, 120.00 degrees
Positions (direct):
Ba1 0.0000 0.0000 0.0000
Sr1 0.0000 0.0000 0.5000
Mg1 0.3333 0.6667 0.7048
Mg2 0.6667 0.3333 0.2952
In1 0.3333 0.6667 0.2861
In2 0.6667 0.3333 0.7139

***

The following is a DFT calculation (PBE-GGA) of crystalline BaOsSeF2 at its relaxed geometry.

The value obtained for the total energy is -4.559 eV/atom. As for the uncorrected formation energy: -0.48 eV per atom. The value obtained for the density of states at the Fermi level is 5.496 states/eV/cell. Its symmetry is P4/mmm, No. 123.

Cell lengths 4.6251, 4.6251, 8.1874 Å; angles 90.00, 90.00, 90.00 degrees
Positions (direct):
Ba1 0.0000 0.0000 0.0000
Os1 0.0000 0.0000 0.5000
Se1 0.5000 0.5000 0.5000
F1 0.0000 0.5000 0.0000
F2 0.5000 0.0000 0.0000

***

The following is a DFT calculation (PBE-GGA) of crystalline Li2ZnSCl at its relaxed geometry.

The value obtained for the total energy is -2.677 eV/atom. As for the uncorrected formation energy: -0.46 eV per atom. The value obtained for the density of states at the Fermi level is 0.506 states/eV/cell. Its symmetry is P4/mmm, No. 123.

Cell lengths 4.6874, 4.6874, 5.4390 Å; angles 90.00, 90.00, 90.00 degrees
Positions (direct):
Li1 0.0000 0.5000 0.0000
Li2 0.5000 0.0000 0.0000
Zn1 0.0000 0.0000 0.5000
S1 0.5000 0.5000 0.0000
Cl1 0.5000 0.5000 0.5000